Record 1
In2SnSb: relaxed, PBE-GGA.

Geometry as POSCAR:
```
In2SnSb
1.0
2.275 1.314 6.719
-2.275 1.314 6.719
0.000 -2.627 6.719
In Sn Sb
2 1 1
Cartesian
0.000 0.000 0.000
0.000 0.000 3.423
0.000 0.000 15.168
0.000 0.000 11.763
```

## Properties
- E_form (uncorrected) (eV/atom) = 0.072
- DOS at the Fermi energy (states/eV/f.u.) = 1.8
- relative energy among the computed polymorphs (eV/atom) = 0.017
- VASP energy (Ha/atom) = -0.1223



Record 2
La3TlTeCl: relaxed, PBE-GGA.

Geometry as POSCAR:
```
La3TlTeCl
1.0
8.339 0.000 0.000
0.000 4.772 0.000
-3.351 0.000 9.983
La Tl Te Cl
6 2 2 2
Cartesian
-0.660 1.193 3.629
2.247 3.579 0.090
1.263 3.579 6.651
3.725 1.193 3.332
2.741 1.193 9.893
5.648 3.579 6.354
-0.689 1.193 7.696
5.678 3.579 2.287
1.556 3.579 3.483
3.433 1.193 6.500
0.628 1.193 0.931
4.361 3.579 9.052
```

## Properties
- E_form (uncorrected) (eV/atom) = -1.091
- DOS at the Fermi energy (states/eV/f.u.) = 4.3
- VASP energy (Ha/atom) = -0.1757



Record 3
SmDy2ErTm: relaxed, PBE-GGA.

Geometry as POSCAR:
```
SmDy2ErTm
1.0
4.169 -5.694 0.000
4.169 5.694 0.000
0.000 0.000 7.178
Sm Dy Er Tm
2 4 2 2
Cartesian
4.169 3.102 5.384
4.169 -3.102 1.795
1.598 0.000 0.000
1.598 0.000 3.589
6.740 0.000 0.000
6.740 0.000 3.589
4.169 3.150 1.795
4.169 -3.150 5.384
4.169 -0.002 1.795
4.169 0.002 5.384
```

## Properties
- formation energy from the elements (kJ/mol of atoms) = 37.85
- DOS at the Fermi energy (states/eV/f.u.) = 6.7
- VASP energy (Ha/atom) = -0.1543